DFT (PBE) results for an optimized crystal structure of ScBe8.

Computed properties:
Its calculated volume is 10.04 Å³/atom. As for the density of states at the Fermi level: 0.337 states/eV/atom. The value obtained for the energy relative to the elements is 1.3 eV/f.u.

Cell lengths 5.388, 5.388, 5.388 Å; angles 95.96, 95.96, 142.41 degrees
Fractional coordinates of all 9 atoms:
1 Sc 0.000 0.000 0.000
2 Be 0.000 0.354 0.354
3 Be 0.000 0.646 0.646
4 Be 0.311 0.311 0.622
5 Be 0.311 0.689 0.000
6 Be 0.354 0.000 0.354
7 Be 0.646 0.000 0.646
8 Be 0.689 0.311 0.000
9 Be 0.689 0.689 0.378

DFT (PBE) results for an optimized crystal structure of Sc3BeSe.

Computed properties:
Its calculated volume is 21.57 Å³/atom. Its energy above the most stable polymorph in this dataset is 0.0 meV per atom. As for the density of states at the Fermi level: 0.751 states/eV/atom. Its uncorrected formation energy is -0.1712 eV per atom.

Cell lengths 4.760, 4.760, 4.760 Å; angles 90.00, 90.00, 90.00 degrees
Fractional coordinates of all 5 atoms:
1 Sc 0.000 0.000 0.500
2 Sc 0.000 0.500 0.000
3 Sc 0.500 0.000 0.000
4 Be 0.000 0.000 0.000
5 Se 0.500 0.500 0.500

DFT (PBE) results for an optimized crystal structure of ScBeSe2.

Computed properties:
Its calculated volume is 19.74 Å³/atom. As for the density of states at the Fermi level: 0.323 states/eV/atom. Its uncorrected formation energy is -0.5356 eV per atom.

Cell lengths 3.618, 3.618, 12.062 Å; angles 90.00, 90.00, 90.00 degrees
Fractional coordinates of all 8 atoms:
1 Sc 0.000 0.000 0.000
2 Sc 0.500 0.500 0.500
3 Be 0.000 0.500 0.250
4 Be 0.500 0.000 0.750
5 Se 0.000 0.000 0.500
6 Se 0.000 0.500 0.750
7 Se 0.500 0.000 0.250
8 Se 0.500 0.500 0.000

DFT (PBE) results for an optimized crystal structure of ScBeSe.

Computed properties:
Its calculated volume is 17.68 Å³/atom. Its energy above the most stable polymorph in this dataset is 45.9 meV per atom. As for the density of states at the Fermi level: 0.288 states/eV/atom. Its uncorrected formation energy is -0.3811 eV per atom.

Cell lengths 3.762, 5.755, 9.802 Å; angles 90.00, 90.00, 90.00 degrees
Fractional coordinates of all 12 atoms:
1 Sc 0.000 0.000 0.000
2 Sc 0.000 0.500 0.500
3 Sc 0.500 0.000 0.500
4 Sc 0.500 0.500 0.000
5 Be 0.000 0.000 0.678
6 Be 0.000 0.500 0.178
7 Be 0.500 0.000 0.178
8 Be 0.500 0.500 0.678
9 Se 0.000 0.000 0.297
10 Se 0.000 0.500 0.797
11 Se 0.500 0.000 0.797
12 Se 0.500 0.500 0.297

DFT (PBE) results for an optimized crystal structure of ScBeSe.

Computed properties:
Its calculated volume is 17.93 Å³/atom. Its energy above the most stable polymorph in this dataset is 56.9 meV per atom. As for the density of states at the Fermi level: 0.889 states/eV/atom. Its uncorrected formation energy is -0.3701 eV per atom.

Cell lengths 3.533, 3.533, 4.976 Å; angles 90.00, 90.00, 120.00 degrees
Fractional coordinates of all 3 atoms:
1 Sc 0.000 0.000 0.000
2 Be 0.667 0.333 0.601
3 Se 0.333 0.667 0.405

DFT (PBE) results for an optimized crystal structure of Sc2BeSe2.

Computed properties:
Its calculated volume is 19.31 Å³/atom. Its energy above the most stable polymorph in this dataset is 0.0 meV per atom. As for the density of states at the Fermi level: 0.691 states/eV/atom. Its uncorrected formation energy is -0.7263 eV per atom.

Cell lengths 7.275, 7.275, 3.648 Å; angles 90.00, 90.00, 90.00 degrees
Fractional coordinates of all 10 atoms:
1 Sc 0.158 0.342 0.000
2 Sc 0.342 0.842 0.000
3 Sc 0.658 0.158 0.000
4 Sc 0.842 0.658 0.000
5 Be 0.000 0.000 0.000
6 Be 0.500 0.500 0.000
7 Se 0.150 0.650 0.500
8 Se 0.350 0.150 0.500
9 Se 0.650 0.850 0.500
10 Se 0.850 0.350 0.500

DFT (PBE) results for an optimized crystal structure of ScBeSe2.

Computed properties:
Its calculated volume is 21.93 Å³/atom. As for the density of states at the Fermi level: 0.598 states/eV/atom. Its uncorrected formation energy is -0.5350 eV per atom.

Cell lengths 3.457, 7.075, 7.173 Å; angles 90.00, 90.00, 90.00 degrees
Fractional coordinates of all 8 atoms:
1 Sc 0.000 0.000 0.000
2 Sc 0.500 0.500 0.000
3 Be 0.000 0.000 0.500
4 Be 0.500 0.500 0.500
5 Se 0.000 0.500 0.282
6 Se 0.000 0.500 0.718
7 Se 0.500 0.000 0.282
8 Se 0.500 0.000 0.718

DFT (PBE) results for an optimized crystal structure of ScBe3Se.

Computed properties:
Its calculated volume is 22.72 Å³/atom. Its energy above the most stable polymorph in this dataset is 1008.4 meV per atom. As for the density of states at the Fermi level: 0.560 states/eV/atom. Its uncorrected formation energy is 1.7515 eV per atom.

Cell lengths 4.843, 4.843, 4.843 Å; angles 90.00, 90.00, 90.00 degrees
Fractional coordinates of all 5 atoms:
1 Sc 0.000 0.000 0.000
2 Be 0.000 0.000 0.500
3 Be 0.000 0.500 0.000
4 Be 0.500 0.000 0.000
5 Se 0.500 0.500 0.500

DFT (PBE) results for an optimized crystal structure of ScBeSe.

Computed properties:
Its calculated volume is 16.47 Å³/atom. Its energy above the most stable polymorph in this dataset is 79.3 meV per atom. As for the density of states at the Fermi level: 0.632 states/eV/atom. Its uncorrected formation energy is -0.3478 eV per atom.

Cell lengths 3.258, 3.258, 9.308 Å; angles 90.00, 90.00, 90.00 degrees
Fractional coordinates of all 6 atoms:
1 Sc 0.000 0.000 0.000
2 Sc 0.500 0.500 0.500
3 Be 0.000 0.000 0.694
4 Be 0.500 0.500 0.194
5 Se 0.000 0.000 0.299
6 Se 0.500 0.500 0.799

DFT (PBE) results for an optimized crystal structure of ScBeSe2.

Computed properties:
Its calculated volume is 17.84 Å³/atom. As for the density of states at the Fermi level: 0.571 states/eV/atom. Its uncorrected formation energy is -0.8572 eV per atom.

Cell lengths 3.590, 3.590, 19.187 Å; angles 90.00, 90.00, 120.00 degrees
Fractional coordinates of all 12 atoms:
1 Sc 0.000 0.000 0.000
2 Sc 0.333 0.667 0.667
3 Sc 0.667 0.333 0.333
4 Be 0.000 0.000 0.500
5 Be 0.333 0.667 0.167
6 Be 0.667 0.333 0.833
7 Se 0.000 0.000 0.238
8 Se 0.000 0.000 0.762
9 Se 0.333 0.667 0.428
10 Se 0.333 0.667 0.905
11 Se 0.667 0.333 0.095
12 Se 0.667 0.333 0.572

DFT (PBE) results for an optimized crystal structure of ScBeSe.

Computed properties:
Its calculated volume is 19.67 Å³/atom. Its energy above the most stable polymorph in this dataset is 466.5 meV per atom. As for the density of states at the Fermi level: 1.472 states/eV/atom. Its uncorrected formation energy is 0.0394 eV per atom.

Cell lengths 6.180, 6.180, 6.180 Å; angles 90.00, 90.00, 90.00 degrees
Fractional coordinates of all 12 atoms:
1 Sc 0.000 0.000 0.000
2 Sc 0.000 0.500 0.500
3 Sc 0.500 0.000 0.500
4 Sc 0.500 0.500 0.000
5 Be 0.000 0.000 0.500
6 Be 0.000 0.500 0.000
7 Be 0.500 0.000 0.000
8 Be 0.500 0.500 0.500
9 Se 0.250 0.250 0.750
10 Se 0.250 0.750 0.250
11 Se 0.750 0.250 0.250
12 Se 0.750 0.750 0.750

DFT (PBE) results for an optimized crystal structure of ScBeSe2.

Computed properties:
Its calculated volume is 18.64 Å³/atom. As for the density of states at the Fermi level: 0.483 states/eV/atom. Its uncorrected formation energy is -0.7516 eV per atom.

Cell lengths 3.528, 3.336, 6.443 Å; angles 90.00, 100.55, 90.00 degrees
Fractional coordinates of all 4 atoms:
1 Sc 0.000 0.000 0.000
2 Be 0.500 0.000 0.500
3 Se 0.442 0.500 0.747
4 Se 0.558 0.500 0.253

DFT (PBE) results for an optimized crystal structure of Sc4BeSe.

Computed properties:
Its calculated volume is 21.96 Å³/atom. As for the density of states at the Fermi level: 1.491 states/eV/atom. Its uncorrected formation energy is 0.4258 eV per atom.

Cell lengths 5.712, 5.712, 5.712 Å; angles 60.00, 60.00, 60.00 degrees
Fractional coordinates of all 6 atoms:
1 Sc 0.376 0.376 0.376
2 Sc 0.376 0.376 0.872
3 Sc 0.376 0.872 0.376
4 Sc 0.872 0.376 0.376
5 Be 0.750 0.750 0.750
6 Se 0.000 0.000 0.000